VASP calculation (PBE-GGA) on an optimized crystal structure of Mo3HPt.

Properties
- crystal system = monoclinic
- space group = P2_1/c (14)
- E (eV per atom) = -8.32
- relative energy among the computed polymorphs (eV/atom) = 0.173

Lattice parameters (Å, degrees): 7.0354 5.3001 8.9511 90.00 126.80 90.00
Sites, in units of the cell vectors:
Mo (0.0438, 0.0382, 0.2907)
Mo (0.0438, 0.4618, 0.7907)
Mo (0.3143, 0.1725, 0.6717)
Mo (0.3143, 0.3275, 0.1717)
Mo (0.4348, 0.7347, 0.9584)
Mo (0.4348, 0.7653, 0.4584)
Mo (0.5652, 0.2347, 0.5416)
Mo (0.5652, 0.2653, 0.0416)
Mo (0.6857, 0.6725, 0.8283)
Mo (0.6857, 0.8275, 0.3283)
Mo (0.9562, 0.5382, 0.2093)
Mo (0.9562, 0.9618, 0.7093)
H (0.2416, 0.1627, 0.8496)
H (0.2416, 0.3373, 0.3496)
H (0.7584, 0.6627, 0.6504)
H (0.7584, 0.8373, 0.1504)
Pt (0.1651, 0.6820, 0.5771)
Pt (0.1651, 0.8180, 0.0771)
Pt (0.8349, 0.1820, 0.9229)
Pt (0.8349, 0.3180, 0.4229)